# Zn2GeMoW

An optimized crystal structure of Zn2GeMoW (GGA-PBEsol, Alexandria).

- SG = P4/mmm
- volume (Å³ per atom) = 21.353
- ΔE_f (eV/atom) = 1.55

Lattice parameters (Å, degrees): 4.5740 4.8313 4.8313 90.00 90.00 90.00
Sites, in units of the cell vectors:
W 0.5000 0.0000 0.0000
Mo 0.0000 0.0000 0.0000
Ge 0.5000 0.5000 0.5000
Zn 0.0000 0.0000 0.5000
Zn 0.0000 0.5000 0.0000